w) Below is crystalline PrCd6Ag2 at its relaxed geometry, with properties calculated at the PBE level.

Unit cell a=8.770 b=8.770 c=3.173 alpha=99.59 beta=99.59 gamma=59.54
Fractional coordinates of all 9 atoms:
Pr (0.000, 0.000, 0.000)
Cd (0.001, 0.351, 0.673)
Cd (0.336, 0.664, 0.500)
Cd (0.351, 0.001, 0.673)
Cd (0.649, 0.999, 0.327)
Cd (0.664, 0.336, 0.500)
Cd (0.999, 0.649, 0.327)
Ag (0.352, 0.352, 0.863)
Ag (0.648, 0.648, 0.137)

Calculated values
The value obtained for the density of states at the Fermi level is 4.701 states/eV/f.u. As for the space group: C2/m (12).


x) Below is crystalline PrCd6Ag2 at its relaxed geometry, with properties calculated at the PBE level.

Unit cell a=9.647 b=9.647 c=4.863 alpha=90.00 beta=90.00 gamma=69.11
Fractional coordinates of all 18 atoms:
Pr (0.196, 0.804, 0.750)
Pr (0.804, 0.196, 0.250)
Cd (0.039, 0.194, 0.750)
Cd (0.053, 0.384, 0.250)
Cd (0.194, 0.039, 0.250)
Cd (0.271, 0.549, 0.250)
Cd (0.384, 0.053, 0.750)
Cd (0.451, 0.729, 0.250)
Cd (0.549, 0.271, 0.750)
Cd (0.616, 0.947, 0.250)
Cd (0.729, 0.451, 0.750)
Cd (0.806, 0.961, 0.750)
Cd (0.947, 0.616, 0.750)
Cd (0.961, 0.806, 0.250)
Ag (0.236, 0.395, 0.750)
Ag (0.395, 0.236, 0.250)
Ag (0.605, 0.764, 0.750)
Ag (0.764, 0.605, 0.250)

Calculated values
The value obtained for the density of states at the Fermi level is 3.240 states/eV/f.u. As for the space group: Cmcm (63).


Tell me which of them is the least stable. Sure, it is w).


w) Below is crystalline Pr3Cd4Ag2 at its relaxed geometry, with properties calculated at the PBE level.

Unit cell a=6.128 b=6.128 c=9.387 alpha=117.23 beta=117.23 gamma=48.55
Fractional coordinates of all 9 atoms:
Pr (0.000, 0.000, 0.000)
Pr (0.331, 0.331, 0.337)
Pr (0.669, 0.669, 0.663)
Cd (0.051, 0.051, 0.383)
Cd (0.281, 0.281, 0.945)
Cd (0.719, 0.719, 0.055)
Cd (0.949, 0.949, 0.617)
Ag (0.394, 0.394, 0.727)
Ag (0.606, 0.606, 0.273)

Calculated values
The value obtained for the density of states at the Fermi level is 6.098 states/eV/f.u. As for the space group: C2/m (12).


x) Below is crystalline Pr3Cd4Ag2 at its relaxed geometry, with properties calculated at the PBE level.

Unit cell a=5.485 b=5.485 c=9.255 alpha=96.40 beta=96.40 gamma=57.69
Fractional coordinates of all 9 atoms:
Pr (0.000, 0.000, 0.000)
Pr (0.377, 0.377, 0.278)
Pr (0.623, 0.623, 0.722)
Cd (0.062, 0.062, 0.364)
Cd (0.317, 0.317, 0.916)
Cd (0.683, 0.683, 0.084)
Cd (0.938, 0.938, 0.636)
Ag (0.278, 0.278, 0.607)
Ag (0.722, 0.722, 0.393)

Calculated values
The value obtained for the density of states at the Fermi level is 6.902 states/eV/f.u. As for the space group: C2/m (12).


Tell me which of them is the least stable. Sure, it is x).


w) Below is crystalline Pr6CdAg at its relaxed geometry, with properties calculated at the PBE level.

Unit cell a=6.352 b=6.356 c=6.361 alpha=93.54 beta=93.47 gamma=93.65
Fractional coordinates of all 8 atoms:
Pr (0.030, 0.253, 0.053)
Pr (0.246, 0.948, 0.468)
Pr (0.448, 0.470, 0.747)
Pr (0.552, 0.530, 0.253)
Pr (0.754, 0.052, 0.532)
Pr (0.970, 0.747, 0.947)
Cd (0.500, 0.000, 0.000)
Ag (0.000, 0.500, 0.500)

Calculated values
The value obtained for the density of states at the Fermi level is 7.370 states/eV/f.u. As for the space group: P-1 (2).


x) Below is crystalline Pr6CdAg at its relaxed geometry, with properties calculated at the PBE level.

Unit cell a=9.847 b=9.847 c=9.847 alpha=148.64 beta=148.64 gamma=44.94
Fractional coordinates of all 8 atoms:
Pr (0.109, 0.609, 0.500)
Pr (0.249, 0.249, 0.000)
Pr (0.391, 0.891, 0.500)
Pr (0.609, 0.109, 0.500)
Pr (0.751, 0.751, 0.000)
Pr (0.891, 0.391, 0.500)
Cd (0.000, 0.000, 0.000)
Ag (0.500, 0.500, 0.000)

Calculated values
The value obtained for the density of states at the Fermi level is 10.256 states/eV/f.u. As for the space group: I4/mmm (139).


Tell me which of them is the least stable. Sure, it is w).


w) Below is crystalline Pr2Cd5Ag3 at its relaxed geometry, with properties calculated at the PBE level.

Unit cell a=9.448 b=9.448 c=9.448 alpha=99.76 beta=92.28 gamma=142.25
Fractional coordinates of all 20 atoms:
Pr (0.242, 0.128, 0.370)
Pr (0.258, 0.628, 0.886)
Pr (0.742, 0.372, 0.114)
Pr (0.758, 0.872, 0.630)
Cd (0.145, 0.385, 0.530)
Cd (0.250, 0.250, 0.000)
Cd (0.250, 0.502, 0.252)
Cd (0.250, 0.998, 0.748)
Cd (0.355, 0.885, 0.239)
Cd (0.645, 0.115, 0.761)
Cd (0.750, 0.002, 0.252)
Cd (0.750, 0.498, 0.748)
Cd (0.750, 0.750, 0.000)
Cd (0.855, 0.615, 0.470)
Ag (0.146, 0.874, 0.019)
Ag (0.250, 0.750, 0.500)
Ag (0.354, 0.374, 0.728)
Ag (0.646, 0.626, 0.272)
Ag (0.750, 0.250, 0.500)
Ag (0.854, 0.126, 0.981)

Calculated values
The value obtained for the density of states at the Fermi level is 6.131 states/eV/f.u. As for the space group: Ibam (72).


x) Below is crystalline Pr2Cd5Ag3 at its relaxed geometry, with properties calculated at the PBE level.

Unit cell a=13.473 b=13.473 c=7.403 alpha=90.00 beta=90.00 gamma=159.22
Fractional coordinates of all 20 atoms:
Pr (0.017, 0.983, 0.500)
Pr (0.325, 0.675, 0.566)
Pr (0.675, 0.325, 0.066)
Pr (0.983, 0.017, 0.000)
Cd (0.106, 0.894, 0.831)
Cd (0.202, 0.798, 0.393)
Cd (0.213, 0.787, 0.790)
Cd (0.376, 0.624, 0.007)
Cd (0.449, 0.551, 0.691)
Cd (0.551, 0.449, 0.191)
Cd (0.624, 0.376, 0.507)
Cd (0.787, 0.213, 0.290)
Cd (0.798, 0.202, 0.893)
Cd (0.894, 0.106, 0.331)
Ag (0.107, 0.893, 0.226)
Ag (0.272, 0.728, 0.101)
Ag (0.448, 0.552, 0.295)
Ag (0.552, 0.448, 0.795)
Ag (0.728, 0.272, 0.601)
Ag (0.893, 0.107, 0.726)

Calculated values
The value obtained for the density of states at the Fermi level is 6.207 states/eV/f.u. As for the space group: Cmc2_1 (36).


Tell me which of them is the least stable. Sure, it is w).


w) Below is crystalline Pr8CdAg2 at its relaxed geometry, with properties calculated at the PBE level.

Unit cell a=9.635 b=9.635 c=7.534 alpha=108.02 beta=108.02 gamma=32.07
Fractional coordinates of all 11 atoms:
Pr (0.029, 0.029, 0.264)
Pr (0.191, 0.191, 0.806)
Pr (0.329, 0.329, 0.529)
Pr (0.409, 0.409, 0.036)
Pr (0.591, 0.591, 0.964)
Pr (0.671, 0.671, 0.471)
Pr (0.809, 0.809, 0.194)
Pr (0.971, 0.971, 0.736)
Cd (0.500, 0.500, 0.500)
Ag (0.185, 0.185, 0.202)
Ag (0.815, 0.815, 0.798)

Calculated values
The value obtained for the density of states at the Fermi level is 10.986 states/eV/f.u. As for the space group: C2/m (12).


x) Below is crystalline Pr8CdAg2 at its relaxed geometry, with properties calculated at the PBE level.

Unit cell a=8.776 b=8.776 c=8.742 alpha=118.93 beta=118.93 gamma=36.83
Fractional coordinates of all 11 atoms:
Pr (0.070, 0.070, 0.224)
Pr (0.141, 0.141, 0.700)
Pr (0.317, 0.317, 0.542)
Pr (0.403, 0.403, 0.044)
Pr (0.597, 0.597, 0.956)
Pr (0.683, 0.683, 0.458)
Pr (0.859, 0.859, 0.300)
Pr (0.930, 0.930, 0.776)
Cd (0.500, 0.500, 0.500)
Ag (0.227, 0.227, 0.121)
Ag (0.773, 0.773, 0.879)

Calculated values
The value obtained for the density of states at the Fermi level is 11.875 states/eV/f.u. As for the space group: C2/m (12).


Tell me which of them is the least stable. Sure, it is w).


w) Below is crystalline Pr2Cd5Ag at its relaxed geometry, with properties calculated at the PBE level.

Unit cell a=9.202 b=9.202 c=9.999 alpha=90.00 beta=90.00 gamma=150.70
Fractional coordinates of all 16 atoms:
Pr (0.000, 0.000, 0.000)
Pr (0.000, 0.000, 0.500)
Pr (0.189, 0.811, 0.750)
Pr (0.811, 0.189, 0.250)
Cd (0.196, 0.804, 0.103)
Cd (0.196, 0.804, 0.397)
Cd (0.360, 0.640, 0.031)
Cd (0.360, 0.640, 0.469)
Cd (0.393, 0.607, 0.750)
Cd (0.607, 0.393, 0.250)
Cd (0.640, 0.360, 0.531)
Cd (0.640, 0.360, 0.969)
Cd (0.804, 0.196, 0.603)
Cd (0.804, 0.196, 0.897)
Ag (0.454, 0.546, 0.250)
Ag (0.546, 0.454, 0.750)

Calculated values
The value obtained for the density of states at the Fermi level is 5.435 states/eV/f.u. As for the space group: Cmcm (63).


x) Below is crystalline Pr2Cd5Ag at its relaxed geometry, with properties calculated at the PBE level.

Unit cell a=6.472 b=6.472 c=6.472 alpha=113.25 beta=113.25 gamma=102.15
Fractional coordinates of all 8 atoms:
Pr (0.000, 0.500, 0.500)
Pr (0.500, 0.000, 0.500)
Cd (0.428, 0.428, 0.000)
Cd (0.541, 0.541, 0.578)
Cd (0.541, 0.962, 0.000)
Cd (0.962, 0.541, 0.000)
Cd (0.962, 0.962, 0.422)
Ag (0.057, 0.057, 0.000)

Calculated values
The value obtained for the density of states at the Fermi level is 8.568 states/eV/f.u. As for the space group: I4mm (107).


Tell me which of them is the least stable. Sure, it is x).


w) Below is crystalline Pr2Cd5Ag4 at its relaxed geometry, with properties calculated at the PBE level.

Unit cell a=7.273 b=7.273 c=7.273 alpha=133.16 beta=102.87 gamma=95.35
Fractional coordinates of all 11 atoms:
Pr (0.216, 0.216, 0.000)
Pr (0.784, 0.784, 0.000)
Cd (0.000, 0.500, 0.500)
Cd (0.311, 0.250, 0.561)
Cd (0.311, 0.750, 0.061)
Cd (0.689, 0.250, 0.939)
Cd (0.689, 0.750, 0.439)
Ag (0.081, 0.745, 0.336)
Ag (0.409, 0.745, 0.664)
Ag (0.591, 0.255, 0.336)
Ag (0.919, 0.255, 0.664)

Calculated values
The value obtained for the density of states at the Fermi level is 6.341 states/eV/f.u. As for the space group: Immm (71).


x) Below is crystalline Pr2Cd5Ag4 at its relaxed geometry, with properties calculated at the PBE level.

Unit cell a=10.487 b=9.782 c=5.627 alpha=80.92 beta=67.09 gamma=31.99
Fractional coordinates of all 11 atoms:
Pr (0.124, 0.124, 0.876)
Pr (0.876, 0.876, 0.124)
Cd (0.000, 0.000, 0.500)
Cd (0.250, 0.250, 0.250)
Cd (0.500, 0.500, 0.000)
Cd (0.500, 0.500, 0.500)
Cd (0.750, 0.750, 0.750)
Ag (0.214, 0.524, 0.476)
Ag (0.476, 0.786, 0.214)
Ag (0.524, 0.214, 0.786)
Ag (0.786, 0.476, 0.524)

Calculated values
The value obtained for the density of states at the Fermi level is 6.269 states/eV/f.u. As for the space group: Fmmm (69).


Tell me which of them is the least stable. Sure, it is x).


w) Below is crystalline TbPrCdAg at its relaxed geometry, with properties calculated at the PBE level.

Unit cell a=3.753 b=3.753 c=7.598 alpha=90.00 beta=90.00 gamma=90.00
Fractional coordinates of all 4 atoms:
Tb (0.000, 0.000, 0.000)
Pr (0.000, 0.000, 0.515)
Cd (0.500, 0.500, 0.244)
Ag (0.500, 0.500, 0.782)

Calculated values
The value obtained for the density of states at the Fermi level is 3.855 states/eV/f.u. As for the space group: P4mm (99).


x) Below is crystalline TbPrCdAg at its relaxed geometry, with properties calculated at the PBE level.

Unit cell a=5.334 b=5.334 c=5.334 alpha=60.00 beta=60.00 gamma=60.00
Fractional coordinates of all 4 atoms:
Tb (0.000, 0.000, 0.000)
Pr (0.500, 0.500, 0.500)
Cd (0.250, 0.250, 0.250)
Ag (0.750, 0.750, 0.750)

Calculated values
The value obtained for the density of states at the Fermi level is 3.557 states/eV/f.u. As for the space group: F-43m (216).


Tell me which of them is the least stable. Sure, it is x).


w) Below is crystalline PrTmCdAg at its relaxed geometry, with properties calculated at the PBE level.

Unit cell a=5.294 b=5.294 c=5.294 alpha=60.00 beta=60.00 gamma=60.00
Fractional coordinates of all 4 atoms:
Pr (0.000, 0.000, 0.000)
Tm (0.500, 0.500, 0.500)
Cd (0.750, 0.750, 0.750)
Ag (0.250, 0.250, 0.250)

Calculated values
The value obtained for the density of states at the Fermi level is 3.247 states/eV/f.u. As for the space group: F-43m (216).


x) Below is crystalline PrTmCdAg at its relaxed geometry, with properties calculated at the PBE level.

Unit cell a=3.700 b=3.700 c=7.616 alpha=90.00 beta=90.00 gamma=90.00
Fractional coordinates of all 4 atoms:
Pr (0.000, 0.000, 0.000)
Tm (0.000, 0.000, 0.483)
Cd (0.500, 0.500, 0.723)
Ag (0.500, 0.500, 0.274)

Calculated values
The value obtained for the density of states at the Fermi level is 4.076 states/eV/f.u. As for the space group: P4mm (99).


Tell me which of them is the least stable. Sure, it is w).


w) Below is crystalline Cd2AgPt4 at its relaxed geometry, with properties calculated at the PBE level.

Unit cell a=7.590 b=7.590 c=7.590 alpha=142.32 beta=142.32 gamma=54.35
Fractional coordinates of all 7 atoms:
Cd (0.113, 0.113, 0.000)
Cd (0.887, 0.887, 0.000)
Ag (0.500, 0.500, 0.000)
Pt (0.000, 0.500, 0.500)
Pt (0.307, 0.307, 0.000)
Pt (0.500, 0.000, 0.500)
Pt (0.693, 0.693, 0.000)

Calculated values
The value obtained for the density of states at the Fermi level is 4.688 states/eV/f.u. As for the space group: I4/mmm (139).


x) Below is crystalline Cd2AgPt4 at its relaxed geometry, with properties calculated at the PBE level.

Unit cell a=9.784 b=9.784 c=9.784 alpha=157.75 beta=157.75 gamma=31.68
Fractional coordinates of all 7 atoms:
Cd (0.102, 0.102, 0.000)
Cd (0.898, 0.898, 0.000)
Ag (0.500, 0.500, 0.000)
Pt (0.250, 0.750, 0.500)
Pt (0.357, 0.357, 0.000)
Pt (0.643, 0.643, 0.000)
Pt (0.750, 0.250, 0.500)

Calculated values
The value obtained for the density of states at the Fermi level is 7.193 states/eV/f.u. As for the space group: I4/mmm (139).


Tell me which of them is the least stable. Sure, it is w).


w) Below is crystalline Cd5Ag4Pt at its relaxed geometry, with properties calculated at the PBE level.

Unit cell a=6.910 b=6.910 c=6.910 alpha=98.29 beta=98.29 gamma=135.36
Fractional coordinates of all 10 atoms:
Cd (0.000, 0.000, 0.000)
Cd (0.097, 0.487, 0.896)
Cd (0.201, 0.097, 0.610)
Cd (0.487, 0.591, 0.390)
Cd (0.591, 0.201, 0.104)
Ag (0.198, 0.781, 0.297)
Ag (0.484, 0.901, 0.703)
Ag (0.781, 0.484, 0.583)
Ag (0.901, 0.198, 0.417)
Pt (0.510, 0.510, 0.000)

Calculated values
The value obtained for the density of states at the Fermi level is 3.854 states/eV/f.u. As for the space group: I4 (79).


x) Below is crystalline Cd5Ag4Pt at its relaxed geometry, with properties calculated at the PBE level.

Unit cell a=3.068 b=3.068 c=20.178 alpha=90.00 beta=90.00 gamma=90.00
Fractional coordinates of all 10 atoms:
Cd (0.000, 0.000, 0.000)
Cd (0.000, 0.000, 0.203)
Cd (0.000, 0.000, 0.407)
Cd (0.000, 0.000, 0.593)
Cd (0.000, 0.000, 0.797)
Ag (0.500, 0.500, 0.101)
Ag (0.500, 0.500, 0.304)
Ag (0.500, 0.500, 0.696)
Ag (0.500, 0.500, 0.899)
Pt (0.500, 0.500, 0.500)

Calculated values
The value obtained for the density of states at the Fermi level is 2.890 states/eV/f.u. As for the space group: P4/mmm (123).


Tell me which of them is the least stable. Sure, it is w).